--- one ---
The following is a GGA-PBE calculation of crystalline HfVCu2 at its relaxed geometry, from Alexandria via LeMat-Bulk.

```
HfVCu2
1.0
0.0000 3.1308 3.1308
3.1308 0.0000 3.1308
3.1308 3.1308 0.0000
Hf V Cu
1 1 2
Cartesian
0.0000 0.0000 0.0000
3.1308 3.1308 3.1308
1.5654 1.5654 1.5654
4.6962 4.6962 4.6962
```



--- two ---
The following is a GGA-PBE calculation of crystalline HfVCu2 at its relaxed geometry, from Alexandria via LeMat-Bulk.

```
HfVCu2
1.0
-3.5282 3.5282 2.5156
3.5282 -3.5282 2.5156
3.5282 3.5282 -2.5156
Hf V Cu
2 2 4
Cartesian
0.0000 0.0000 0.0000
0.0000 3.5282 1.2578
3.5282 0.0000 1.2578
0.0000 0.0000 2.5156
1.7641 -1.5828 1.8867
1.9454 1.7641 0.6289
1.7641 5.1110 -0.6289
1.5828 1.7641 3.1445
```



Most stable: one. Least stable: two.



--- one ---
The following is a GGA-PBE calculation of crystalline Hf3VCu at its relaxed geometry, from Alexandria via LeMat-Bulk.

```
Hf3VCu
1.0
4.8366 0.0000 0.0000
0.0000 4.8366 0.0000
0.0000 0.0000 4.8366
Hf V Cu
3 1 1
Cartesian
0.0000 0.0000 2.4183
0.0000 2.4183 0.0000
2.4183 0.0000 0.0000
2.4183 2.4183 2.4183
0.0000 0.0000 0.0000
```



--- two ---
The following is a GGA-PBE calculation of crystalline Hf3VCu at its relaxed geometry, from Alexandria via LeMat-Bulk.

```
Hf3VCu
1.0
4.8095 0.0000 0.0000
0.0000 4.8095 0.0000
0.0000 0.0000 4.8095
Hf V Cu
3 1 1
Cartesian
0.0000 0.0000 2.4048
0.0000 2.4048 0.0000
2.4048 0.0000 0.0000
0.0000 0.0000 0.0000
2.4048 2.4048 2.4048
```



Most stable: one. Least stable: two.



--- one ---
The following is a GGA-PBE calculation of crystalline HfV3Cu at its relaxed geometry, from Alexandria via LeMat-Bulk.

```
HfV3Cu
1.0
4.4459 0.0000 0.0000
0.0000 4.4459 0.0000
0.0000 0.0000 4.4459
Hf V Cu
1 3 1
Cartesian
0.0000 0.0000 0.0000
0.0000 2.2229 2.2229
2.2229 0.0000 2.2229
2.2229 2.2229 0.0000
2.2229 2.2229 2.2229
```



--- two ---
The following is a GGA-PBE calculation of crystalline HfV3Cu at its relaxed geometry, from Alexandria via LeMat-Bulk.

```
HfV3Cu
1.0
4.6498 0.0000 0.0000
0.0000 4.6498 0.0000
0.0000 0.0000 4.6498
Hf V Cu
1 3 1
Cartesian
0.0000 0.0000 0.0000
0.0000 0.0000 2.3249
0.0000 2.3249 0.0000
2.3249 0.0000 0.0000
2.3249 2.3249 2.3249
```



Most stable: one. Least stable: two.



--- one ---
The following is a GGA-PBE calculation of crystalline Hf2Cu2W at its relaxed geometry, from Alexandria via LeMat-Bulk.

```
Hf2Cu2W
1.0
7.3131 0.0000 0.0000
0.0000 7.3131 0.0000
0.0000 0.0000 3.1251
Hf Cu W
4 4 2
Cartesian
1.3435 2.3130 0.0000
2.3130 5.9696 0.0000
5.0000 1.3435 0.0000
5.9696 5.0000 0.0000
0.8524 4.5090 1.5625
2.8041 0.8524 1.5625
4.5090 6.4607 1.5625
6.4607 2.8041 1.5625
0.0000 0.0000 1.5625
3.6565 3.6565 1.5625
```



--- two ---
The following is a GGA-PBE calculation of crystalline Hf2Cu2W at its relaxed geometry, from Alexandria via LeMat-Bulk.

```
Hf2Cu2W
1.0
-2.4591 2.4591 3.7260
2.4591 -2.4591 3.7260
2.4591 2.4591 -3.7260
Hf Cu W
2 2 1
Cartesian
2.4591 0.0000 1.8630
0.0000 2.4591 1.8630
0.0000 0.0000 1.0695
0.0000 0.0000 6.3826
0.0000 0.0000 3.7260
```



Most stable: one. Least stable: two.



--- one ---
The following is a GGA-PBE calculation of crystalline HfCuW2 at its relaxed geometry, from Alexandria via LeMat-Bulk.

```
HfCuW2
1.0
0.0000 3.1952 3.1952
3.1952 0.0000 3.1952
3.1952 3.1952 0.0000
Hf Cu W
1 1 2
Cartesian
0.0000 0.0000 0.0000
3.1952 3.1952 3.1952
1.5976 1.5976 1.5976
4.7928 4.7928 4.7928
```



--- two ---
The following is a GGA-PBE calculation of crystalline HfCuW2 at its relaxed geometry, from Alexandria via LeMat-Bulk.

```
HfCuW2
1.0
-1.8884 1.8884 9.9300
1.8884 -1.8884 9.9300
1.8884 1.8884 -9.9300
Hf Cu W
2 2 4
Cartesian
0.0000 0.0000 0.0000
0.0000 1.8884 4.9650
1.8884 0.0000 4.9650
0.0000 0.0000 9.9300
2.8327 0.9340 -2.4825
0.9340 0.9442 2.4825
-0.9442 0.9545 7.4475
0.9545 0.9442 12.4125
```



Most stable: one. Least stable: two.



--- one ---
The following is a GGA-PBE calculation of crystalline Hf3CuW at its relaxed geometry, from Alexandria via LeMat-Bulk.

```
Hf3CuW
1.0
5.0393 0.0000 0.0000
0.0000 5.0393 0.0000
0.0000 0.0000 5.0393
Hf Cu W
3 1 1
Cartesian
0.0000 0.0000 2.5196
0.0000 2.5196 0.0000
2.5196 0.0000 0.0000
2.5196 2.5196 2.5196
0.0000 0.0000 0.0000
```



--- two ---
The following is a GGA-PBE calculation of crystalline Hf3CuW at its relaxed geometry, from Alexandria via LeMat-Bulk.

```
Hf3CuW
1.0
4.7514 0.0000 0.0000
0.0000 4.7514 0.0000
0.0000 0.0000 4.7514
Hf Cu W
3 1 1
Cartesian
0.0000 0.0000 2.3757
0.0000 2.3757 0.0000
2.3757 0.0000 0.0000
0.0000 0.0000 0.0000
2.3757 2.3757 2.3757
```



Most stable: two. Least stable: one.



--- one ---
The following is a GGA-PBE calculation of crystalline YHfCu at its relaxed geometry, from Alexandria via LeMat-Bulk.

```
YHfCu
1.0
4.3192 0.0000 0.0000
-2.1596 3.7405 0.0000
0.0000 0.0000 11.6508
Y Hf Cu
2 2 2
Cartesian
0.0000 0.0000 2.9127
0.0000 0.0000 8.7381
0.0000 0.0000 0.0000
0.0000 0.0000 5.8254
0.0000 2.4937 2.9127
2.1596 1.2468 8.7381
```



--- two ---
The following is a GGA-PBE calculation of crystalline YHfCu at its relaxed geometry, from Alexandria via LeMat-Bulk.

```
YHfCu
1.0
6.7659 0.0000 0.0000
0.0000 3.3043 0.0000
0.0000 0.0000 11.4820
Y Hf Cu
4 4 4
Cartesian
0.9201 0.8261 1.1625
2.4629 2.4782 6.9035
4.3030 0.8261 4.5785
5.8458 2.4782 10.3195
0.7366 0.8261 4.6234
2.6463 2.4782 10.3644
4.1195 0.8261 1.1177
6.0293 2.4782 6.8587
0.8978 0.8261 8.7659
2.4851 2.4782 3.0249
4.2807 0.8261 8.4571
5.8681 2.4782 2.7161
```



Most stable: two. Least stable: one.